[1]
Density functional theory data (GGA-PBE) for an optimized crystal structure of Y12TlPt6. Values from VASP.

Summary:
As for the crystal system: cubic. The space-group type is No. 204. As for the total energy: -132.2 eV per cell. Its total magnetization is 0.0 μB per formula unit. The calculation puts the volume at 26.37 Å³ per atom.

Quantum ESPRESSO input file:
```
&SYSTEM
  ibrav = 0, nat = 19, ntyp = 3
/
ATOMIC_SPECIES
Y 88.91 Y.upf
Pt 195.08 Pt.upf
Tl 204.38 Tl.upf
CELL_PARAMETERS angstrom
0.6058 0.0188 -8.6454
7.6946 -2.0332 3.4307
-5.9002 -5.8479 2.4698
ATOMIC_POSITIONS crystal
Y 0.1179 0.8191 0.2988
Y 0.2988 0.1179 0.8191
Y 0.1809 0.2988 0.4797
Y 0.4797 0.1809 0.2988
Y 0.8191 0.2988 0.1179
Y 0.8191 0.7012 0.5203
Y 0.5203 0.8191 0.7012
Y 0.2988 0.4797 0.1809
Y 0.7012 0.5203 0.8191
Y 0.1809 0.7012 0.8821
Y 0.8821 0.1809 0.7012
Y 0.7012 0.8821 0.1809
Pt 0.3620 0.5000 0.8620
Pt 0.6380 0.5000 0.1380
Pt 0.1380 0.6380 0.5000
Pt 0.8620 0.3620 0.5000
Pt 0.5000 0.8620 0.3620
Pt 0.5000 0.1380 0.6380
Tl 0.0000 0.0000 0.0000
```

[2]
Density functional theory data (GGA-PBE) for an optimized crystal structure of Y3TlPt. Values from VASP.

Summary:
As for the crystal system: orthorhombic. The space-group type is No. 26. As for the total energy: -61.4 eV per cell. Its total magnetization is 0.0 μB per formula unit. The calculation puts the volume at 28.68 Å³ per atom.

Quantum ESPRESSO input file:
```
&SYSTEM
  ibrav = 0, nat = 10, ntyp = 3
/
ATOMIC_SPECIES
Y 88.91 Y.upf
Tl 204.38 Tl.upf
Pt 195.08 Pt.upf
CELL_PARAMETERS angstrom
5.4164 0.0000 0.0000
0.0000 6.3489 0.0000
0.0000 0.0000 8.3397
ATOMIC_POSITIONS crystal
Y 0.5000 0.1978 0.8694
Y 0.0000 0.1739 0.2154
Y 0.5000 0.4377 0.4957
Y 0.5000 0.9377 0.5043
Y 0.0000 0.6739 0.7846
Y 0.5000 0.6978 0.1306
Tl 0.0000 0.1831 0.6384
Tl 0.0000 0.6831 0.3616
Pt 0.5000 0.2030 0.2022
Pt 0.5000 0.7030 0.7978
```

Calculated energy relative to the elements, -0.8408 -0.5808 eV per atom (same order as the records).